1.
This record from the Alexandria database describes a geometry-optimized Ho2Tm6ZrSc3 structure. The functional is PBE.

Structure (CIF):
```
data_Ho2Tm6ZrSc3
_space_group_name_H-M_alt 'C 1 2/m 1'
_space_group_IT_number 12
_space_group_name_Hall '-C 2y'
_cell_length_a 5.920
_cell_length_b 10.240
_cell_length_c 11.250
_cell_angle_alpha 90.00
_cell_angle_beta 100.04
_cell_angle_gamma 90.00
loop_
_atom_site_label
_atom_site_type_symbol
_atom_site_fract_x
_atom_site_fract_y
_atom_site_fract_z
Ho1 Ho 0.000 0.167 0.000
Tm1 Tm 0.243 0.500 0.747
Tm2 Tm 0.249 0.336 0.253
Zr1 Zr 0.000 0.500 0.000
Sc1 Sc 0.000 0.000 0.500
Sc2 Sc 0.000 0.333 0.500
```

Computed properties:
final energy = -0.19239 Ha/atom

---

2.
This record from the Alexandria database describes a geometry-optimized Cd2TcNi structure. The functional is PBE.

Structure (CIF):
```
data_Cd2TcNi
_space_group_name_H-M_alt 'P m m m'
_space_group_IT_number 47
_space_group_name_Hall '-P 2 2'
_cell_length_a 4.001
_cell_length_b 4.017
_cell_length_c 4.127
_cell_angle_alpha 90.00
_cell_angle_beta 90.00
_cell_angle_gamma 90.00
loop_
_atom_site_label
_atom_site_type_symbol
_atom_site_fract_x
_atom_site_fract_y
_atom_site_fract_z
Cd1 Cd 0.000 0.000 0.000
Cd2 Cd 0.500 0.500 0.000
Tc1 Tc 0.000 0.500 0.500
Ni1 Ni 0.500 0.000 0.500
```

Computed properties:
offset from the most stable computed form = 1.01 eV/f.u.

---

3.
This record from the Alexandria database describes a geometry-optimized Ce2TlIn2 structure. The functional is PBE.

Structure (CIF):
```
data_Ce2TlIn2
_space_group_name_H-M_alt 'P -3 m 1'
_space_group_IT_number 164
_space_group_name_Hall '-P 3 2"'
_cell_length_a 3.2861
_cell_length_b 3.2861
_cell_length_c 14.9754
_cell_angle_alpha 90.00
_cell_angle_beta 90.00
_cell_angle_gamma 120.00
loop_
_atom_site_label
_atom_site_type_symbol
_atom_site_fract_x
_atom_site_fract_y
_atom_site_fract_z
Ce1 Ce 0.0000 0.0000 0.2240
Tl1 Tl 0.0000 0.0000 0.0000
In1 In 0.3333 0.6667 0.4113
```

Computed properties:
offset from the most stable computed form = 0.97 eV/f.u.

---

4.
This record from the Alexandria database describes a geometry-optimized InAgGe structure. The functional is PBE.

Structure (CIF):
```
data_InAgGe
_space_group_name_H-M_alt 'P 1'
_space_group_IT_number 1
_space_group_name_Hall 'P 1'
_cell_length_a 4.051
_cell_length_b 5.612
_cell_length_c 6.637
_cell_angle_alpha 112.43
_cell_angle_beta 107.41
_cell_angle_gamma 90.21
loop_
_atom_site_label
_atom_site_type_symbol
_atom_site_fract_x
_atom_site_fract_y
_atom_site_fract_z
In1 In 0.000 0.000 0.000
In2 In 0.377 0.402 0.750
Ag1 Ag 0.317 0.854 0.636
Ag2 Ag 0.691 0.017 0.380
Ge1 Ge 0.070 0.568 0.141
Ge2 Ge 0.685 0.497 0.379
```

Computed properties:
final energy = -0.12070 Ha/atom

---

5.
This record from the Alexandria database describes a geometry-optimized ZrInAg2 structure. The functional is PBE.

Structure (CIF):
```
data_ZrInAg2
_space_group_name_H-M_alt 'R -3 m'
_space_group_IT_number 166
_space_group_name_Hall '-R 3 2"'
_cell_length_a 3.1105
_cell_length_b 3.1105
_cell_length_c 29.5718
_cell_angle_alpha 90.00
_cell_angle_beta 90.00
_cell_angle_gamma 120.00
loop_
_atom_site_label
_atom_site_type_symbol
_atom_site_fract_x
_atom_site_fract_y
_atom_site_fract_z
Zr1 Zr 0.0000 0.0000 0.0000
In1 In 0.0000 0.0000 0.5000
Ag1 Ag 0.0000 0.0000 0.2495
```

Computed properties:
final energy = -0.15281 Ha/atom

---

6.
This record from the Alexandria database describes a geometry-optimized Tm2ThTe structure. The functional is PBE.

Structure (CIF):
```
data_Tm2ThTe
_space_group_name_H-M_alt 'P 4/m m m'
_space_group_IT_number 123
_space_group_name_Hall '-P 4 2'
_cell_length_a 3.784
_cell_length_b 3.784
_cell_length_c 8.053
_cell_angle_alpha 90.00
_cell_angle_beta 90.00
_cell_angle_gamma 90.00
loop_
_atom_site_label
_atom_site_type_symbol
_atom_site_fract_x
_atom_site_fract_y
_atom_site_fract_z
Tm1 Tm 0.000 0.000 0.224
Th1 Th 0.500 0.500 0.500
Te1 Te 0.500 0.500 0.000
```

Computed properties:
energy relative to the elements, uncorrected = -52.0 kJ/mol of atoms
offset from the most stable computed form = 0.00 eV/f.u.

---

no.,total magnetization (Bohr magnetons per cell),calculated density (g/cm³),DOS at the Fermi energy (states/eV per cell)
1,0.0,7.8,35.776
2,1.7,9.6,4.822
3,1.4,8.5,11.069
4,0.0,7.4,2.218
5,0.0,8.5,15.719
6,0.0,10.0,2.844